(1)
Density functional theory data (PBE-GGA) for NaY2TiAs after structural relaxation. Values from VASP.

Results
The value obtained for the calculated density is 3.96 g/cm3. The formation energy is 0.987 eV per atom. The calculation puts the density of states at the Fermi level at 1.08 states/eV per atom. Its total DFT energy (no corrections) is -21.857 eV for the cell shown. The value obtained for the magnetization is 0.001 μB per atom.

```
&SYSTEM
  ibrav = 0, nat = 5, ntyp = 4
/
ATOMIC_SPECIES
Y 88.91 Y.upf
Na 22.99 Na.upf
As 74.92 As.upf
Ti 47.87 Ti.upf
ATOMIC_POSITIONS crystal
Y 0.0000 0.0000 0.5000
Y 0.5000 0.0000 0.0000
Na 0.0000 0.0000 0.0000
As 0.5000 0.5000 0.5000
Ti 0.0000 0.5000 0.0000
CELL_PARAMETERS angstrom
-0.9398 5.1568 1.0080
-4.3988 -0.4596 -1.7502
-1.8001 -1.2780 4.8598
```



(2)
Density functional theory data (PBE-GGA) for PmHo2SnC after structural relaxation. Values from VASP.

Results
The value obtained for the calculated density is 8.37 g/cm3. The formation energy is -0.591 eV per atom. The calculation puts the density of states at the Fermi level at 0.44 states/eV per atom. Its total DFT energy (no corrections) is -30.087 eV for the cell shown. The value obtained for the magnetization is 0.000 μB per atom.

```
&SYSTEM
  ibrav = 0, nat = 5, ntyp = 4
/
ATOMIC_SPECIES
Pm 145.00 Pm.upf
Ho 164.93 Ho.upf
Sn 118.71 Sn.upf
C 12.01 C.upf
ATOMIC_POSITIONS crystal
Pm 0.5000 0.0000 0.0000
Ho 0.0000 0.0000 0.5000
Ho 0.0000 0.5000 0.0000
Sn 0.5000 0.5000 0.5000
C 0.0000 0.0000 0.0000
CELL_PARAMETERS angstrom
5.0525 0.0000 0.0000
0.0000 4.8758 0.0000
0.0000 0.0000 4.8758
```



(3)
Density functional theory data (PBE-GGA) for CsPmF3 after structural relaxation. Values from VASP.

Results
The value obtained for the calculated density is 4.61 g/cm3. The calculation puts the density of states at the Fermi level at 0.18 states/eV per atom. As for the uncorrected formation energy: -304.3 kJ/mol of atoms. Its total DFT energy (no corrections) is -53.970 eV for the cell shown. The value obtained for the magnetization is 0.000 μB per atom.

```
&SYSTEM
  ibrav = 0, nat = 10, ntyp = 3
/
ATOMIC_SPECIES
Cs 132.91 Cs.upf
Pm 145.00 Pm.upf
F 19.00 F.upf
ATOMIC_POSITIONS crystal
Cs 0.1830 0.4337 0.8674
Cs 0.8170 0.5663 0.1326
Pm 0.4269 0.1752 0.3505
Pm 0.5731 0.8248 0.6495
F 0.6724 0.9226 0.8452
F 0.3276 0.0774 0.1548
F 0.4002 0.6481 0.2963
F 0.5998 0.3519 0.7037
F 0.0958 0.8473 0.6945
F 0.9042 0.1527 0.3055
CELL_PARAMETERS angstrom
-0.5718 3.9727 -1.9313
-2.7573 1.1546 3.1913
11.1531 1.9676 5.9290
```



(4)
Density functional theory data (PBE-GGA) for LiMg2In2Hg2 after structural relaxation. Values from VASP.

Results
The value obtained for the calculated density is 7.14 g/cm3. The formation energy is -0.095 eV per atom. The calculation puts the density of states at the Fermi level at 0.35 states/eV per atom. Its total DFT energy (no corrections) is -11.847 eV for the cell shown. The value obtained for the magnetization is 0.000 μB per atom.

```
&SYSTEM
  ibrav = 0, nat = 7, ntyp = 4
/
ATOMIC_SPECIES
Li 6.94 Li.upf
Mg 24.30 Mg.upf
In 114.82 In.upf
Hg 200.59 Hg.upf
ATOMIC_POSITIONS crystal
Li 0.0000 0.0000 0.0000
Mg 0.1337 0.1337 0.5988
Mg 0.8663 0.8663 0.4012
In 0.7147 0.7147 0.8558
In 0.2853 0.2853 0.1442
Hg 0.5670 0.5670 0.2990
Hg 0.4330 0.4330 0.7010
CELL_PARAMETERS angstrom
-2.2935 -0.6951 4.1789
-3.7469 -3.0199 0.2179
2.9165 -7.2318 3.1744
```



(5)
Density functional theory data (PBE-GGA) for PrUBeO6 after structural relaxation. Values from VASP.

Results
The value obtained for the calculated density is 6.66 g/cm3. The calculation puts the density of states at the Fermi level at 0.88 states/eV per atom. As for the uncorrected formation energy: -257.7 kJ/mol of atoms. Its total DFT energy (no corrections) is -73.583 eV for the cell shown. The value obtained for the magnetization is 0.074 μB per atom.

```
&SYSTEM
  ibrav = 0, nat = 9, ntyp = 4
/
ATOMIC_SPECIES
Pr 140.91 Pr.upf
U 238.03 U.upf
Be 9.01 Be.upf
O 16.00 O.upf
ATOMIC_POSITIONS crystal
Pr 0.0000 0.0000 0.0000
U 0.6667 0.6667 0.5000
Be 0.3334 0.3333 0.5000
O 0.0242 0.3516 0.2911
O 0.3515 0.0243 0.7088
O 0.6241 0.3516 0.7088
O 0.0242 0.6241 0.7088
O 0.3516 0.6242 0.2912
O 0.6241 0.0243 0.2912
CELL_PARAMETERS angstrom
5.1535 0.0003 -0.0006
2.5770 4.4627 -0.0007
0.0012 0.0001 5.2503
```



(6)
Density functional theory data (PBE-GGA) for DyBeCoSi2 after structural relaxation. Values from VASP.

Results
The value obtained for the calculated density is 6.55 g/cm3. The calculation puts the density of states at the Fermi level at 0.77 states/eV per atom. As for the uncorrected formation energy: -61.5 kJ/mol of atoms. Its total DFT energy (no corrections) is -29.466 eV for the cell shown. The value obtained for the magnetization is 0.000 μB per atom.

```
&SYSTEM
  ibrav = 0, nat = 5, ntyp = 4
/
ATOMIC_SPECIES
Dy 162.50 Dy.upf
Be 9.01 Be.upf
Co 58.93 Co.upf
Si 28.09 Si.upf
ATOMIC_POSITIONS crystal
Dy 0.0000 0.0000 0.0000
Be 0.2500 0.7500 0.5000
Co 0.7500 0.2500 0.5000
Si 0.6242 0.6242 0.2483
Si 0.3758 0.3758 0.7517
CELL_PARAMETERS angstrom
-0.2377 -3.2895 1.9746
3.1083 0.9946 2.0312
-4.3138 3.3517 1.3227
```



(7)
Density functional theory data (PBE-GGA) for Zr2IrW after structural relaxation. Values from VASP.

Results
The value obtained for the calculated density is 12.56 g/cm3. The formation energy is -0.376 eV per atom. The calculation puts the density of states at the Fermi level at 0.77 states/eV per atom. Its total DFT energy (no corrections) is -40.416 eV for the cell shown. The value obtained for the magnetization is 0.000 μB per atom.

```
&SYSTEM
  ibrav = 0, nat = 4, ntyp = 3
/
ATOMIC_SPECIES
Ir 192.22 Ir.upf
W 183.84 W.upf
Zr 91.22 Zr.upf
ATOMIC_POSITIONS crystal
Ir 0.5000 0.5000 0.2500
W 0.5000 0.5000 0.7500
Zr 0.0000 0.0000 0.0021
Zr 0.0000 0.0000 0.4979
CELL_PARAMETERS angstrom
3.3335 0.0008 0.0000
-0.0007 3.3335 0.0000
0.0000 0.0000 6.6469
```



(8)
Density functional theory data (PBE-GGA) for RuCSeBr2 after structural relaxation. Values from VASP.

Results
The value obtained for the calculated density is 4.67 g/cm3. The calculation puts the density of states at the Fermi level at 0.96 states/eV per atom. As for the uncorrected formation energy: 151.9 kJ/mol of atoms. The value obtained for the energy above the most stable polymorph in this dataset is 0.000 eV per atom. Its total DFT energy (no corrections) is -17.459 eV for the cell shown. The value obtained for the magnetization is 0.252 μB per atom.

```
&SYSTEM
  ibrav = 0, nat = 5, ntyp = 4
/
ATOMIC_SPECIES
Ru 101.07 Ru.upf
C 12.01 C.upf
Se 78.96 Se.upf
Br 79.90 Br.upf
ATOMIC_POSITIONS crystal
Ru 0.0000 0.0000 0.0000
C 0.5000 0.5000 0.5000
Se 0.0000 0.0000 0.5000
Br 0.0000 0.5000 0.0000
Br 0.5000 0.0000 0.0000
CELL_PARAMETERS angstrom
5.1991 0.0000 0.0000
0.0000 5.1991 0.0000
0.0000 0.0000 4.6269
```



(9)
Density functional theory data (PBE-GGA) for SrLiDyBr6 after structural relaxation. Values from VASP.

Results
The value obtained for the calculated density is 4.12 g/cm3. The calculation puts the density of states at the Fermi level at 0.00 states/eV per atom. As for the uncorrected formation energy: -180.1 kJ/mol of atoms. Its total DFT energy (no corrections) is -70.078 eV for the cell shown. The value obtained for the magnetization is 0.000 μB per atom.

```
&SYSTEM
  ibrav = 0, nat = 18, ntyp = 4
/
ATOMIC_SPECIES
Sr 87.62 Sr.upf
Li 6.94 Li.upf
Dy 162.50 Dy.upf
Br 79.90 Br.upf
ATOMIC_POSITIONS crystal
Sr 0.0000 0.0000 0.0000
Sr 0.0000 0.0000 0.5000
Li 0.3333 0.6667 0.2500
Li 0.6667 0.3333 0.7500
Dy 0.6667 0.3333 0.2500
Dy 0.3333 0.6667 0.7500
Br 0.6427 0.6459 0.1322
Br 0.0032 0.3573 0.1322
Br 0.3573 0.0032 0.6322
Br 0.9968 0.6427 0.8678
Br 0.3541 0.3573 0.3678
Br 0.0032 0.6459 0.3678
Br 0.6459 0.0032 0.8678
Br 0.6427 0.9968 0.3678
Br 0.9968 0.3541 0.6322
Br 0.3541 0.9968 0.1322
Br 0.6459 0.6427 0.6322
Br 0.3573 0.3541 0.8678
CELL_PARAMETERS angstrom
-5.0055 4.1937 -2.9054
3.6241 -4.6021 -4.0952
-9.2683 -9.4148 2.3781
```



(10)
Density functional theory data (PBE-GGA) for Tb6DyTm3 after structural relaxation. Values from VASP.

Results
The value obtained for the calculated density is 8.53 g/cm3. The formation energy is 0.126 eV per atom. The calculation puts the density of states at the Fermi level at 1.54 states/eV per atom. The value obtained for the energy above the most stable polymorph in this dataset is 0.000 eV per atom. Its total DFT energy (no corrections) is -89.068 eV for the cell shown. The value obtained for the magnetization is 0.000 μB per atom.

```
&SYSTEM
  ibrav = 0, nat = 20, ntyp = 3
/
ATOMIC_SPECIES
Tb 158.93 Tb.upf
Dy 162.50 Dy.upf
Tm 168.93 Tm.upf
ATOMIC_POSITIONS crystal
Tb 0.0701 0.7402 0.6213
Tb 0.5701 0.6213 0.7402
Tb 0.3263 0.4568 0.8954
Tb 0.8263 0.8954 0.4568
Tb 0.3189 0.9843 0.0157
Tb 0.7871 0.3006 0.6994
Tb 0.2871 0.6994 0.3006
Tb 0.8189 0.0157 0.9843
Tb 0.3263 0.1046 0.5432
Tb 0.8263 0.5432 0.1046
Tb 0.0701 0.3787 0.2598
Tb 0.5701 0.2598 0.3787
Dy 0.0146 0.1606 0.8394
Dy 0.5146 0.8394 0.1606
Tm 0.4894 0.9570 0.7055
Tm 0.9894 0.7055 0.9570
Tm 0.0932 0.4187 0.5813
Tm 0.5932 0.5813 0.4187
Tm 0.9894 0.0430 0.2945
Tm 0.4894 0.2945 0.0430
CELL_PARAMETERS angstrom
-2.4261 -2.6734 5.1910
4.7656 -9.9994 -2.9225
4.0987 8.6096 6.3496
```



(11)
Density functional theory data (PBE-GGA) for PmPrInRh after structural relaxation. Values from VASP.

Results
The value obtained for the calculated density is 8.11 g/cm3. The formation energy is -0.436 eV per atom. The calculation puts the density of states at the Fermi level at 0.92 states/eV per atom. Its total DFT energy (no corrections) is -21.363 eV for the cell shown. The value obtained for the magnetization is 0.000 μB per atom.

```
&SYSTEM
  ibrav = 0, nat = 4, ntyp = 4
/
ATOMIC_SPECIES
Pr 140.91 Pr.upf
In 114.82 In.upf
Rh 102.91 Rh.upf
Pm 145.00 Pm.upf
ATOMIC_POSITIONS crystal
Pr 0.2500 0.2500 0.2500
In 0.5000 0.5000 0.5000
Rh 0.0000 0.0000 0.0000
Pm 0.7500 0.7500 0.7500
CELL_PARAMETERS angstrom
-3.1459 0.7852 4.1455
-2.3989 -4.0843 2.2940
1.5076 -1.5884 4.7857
```



(12)
Density functional theory data (PBE-GGA) for PaTcPd after structural relaxation. Values from VASP.

Results
The value obtained for the calculated density is 12.45 g/cm3. The formation energy is -0.154 eV per atom. The calculation puts the density of states at the Fermi level at 0.02 states/eV per atom. The value obtained for the energy above the most stable polymorph in this dataset is 0.218 eV per atom. Its total DFT energy (no corrections) is -25.516 eV for the cell shown. The value obtained for the magnetization is 0.000 μB per atom.

```
&SYSTEM
  ibrav = 0, nat = 3, ntyp = 3
/
ATOMIC_SPECIES
Pa 231.04 Pa.upf
Tc 98.00 Tc.upf
Pd 106.42 Pd.upf
ATOMIC_POSITIONS crystal
Pa 0.5192 0.3333 0.6667
Tc 0.4814 0.6667 0.3333
Pd 0.9994 0.0000 0.0000
CELL_PARAMETERS angstrom
-2.5677 -1.9040 -1.3125
2.7956 -3.3499 -0.6098
-2.2087 0.3630 3.7946
```



(13)
Density functional theory data (PBE-GGA) for CeTiO2 after structural relaxation. Values from VASP.

Results
The value obtained for the calculated density is 7.69 g/cm3. The calculation puts the density of states at the Fermi level at 1.15 states/eV per atom. As for the uncorrected formation energy: -181.7 kJ/mol of atoms. The value obtained for the energy above the most stable polymorph in this dataset is 0.431 eV per atom. Its total DFT energy (no corrections) is -31.278 eV for the cell shown. The value obtained for the magnetization is 0.244 μB per atom.

```
&SYSTEM
  ibrav = 0, nat = 4, ntyp = 3
/
ATOMIC_SPECIES
O 16.00 O.upf
Ce 140.12 Ce.upf
Ti 47.87 Ti.upf
ATOMIC_POSITIONS crystal
O 0.0000 0.0000 0.8049
O 0.0000 0.0000 0.1951
Ce 0.5000 0.5000 0.5000
Ti 0.5000 0.5000 0.0000
CELL_PARAMETERS angstrom
2.7610 0.0000 0.0000
0.0000 2.7610 0.0000
0.0000 0.0000 6.2302
```